(1)
Computed, not measured: a relaxed Ta3Ni2 crystal at the GGA-PBEsol level of DFT.

```
data_Ta3Ni2
_cell_length_a 4.1604
_cell_length_b 4.1604
_cell_length_c 5.2454
_cell_angle_alpha 90.00
_cell_angle_beta 90.00
_cell_angle_gamma 120.00
_space_group_name_H-M_alt 'P -3 m 1'
_space_group_IT_number 164
_space_group_name_Hall '-P 3 2"'
loop_
_atom_site_label
_atom_site_fract_x
_atom_site_fract_y
_atom_site_fract_z
Ta1 0.0000 0.0000 0.0000
Ta2 0.3333 0.6667 0.3592
Ni1 0.3333 0.6667 0.8648
```

**Electronic total energy**: -49.16 eV per cell
**Total moment**: 0.0 μB/f.u.
**Energy of formation**: 0.81 eV per formula unit
**N(E_F)**: 0.9550 states/eV per atom

***

(2)
Computed, not measured: a relaxed CuSb2SI crystal at the GGA-PBEsol level of DFT.

```
data_CuSb2SI
_cell_length_a 5.0841
_cell_length_b 5.0841
_cell_length_c 4.9253
_cell_angle_alpha 90.00
_cell_angle_beta 90.00
_cell_angle_gamma 90.00
_space_group_name_H-M_alt 'P 4/m m m'
_space_group_IT_number 123
_space_group_name_Hall '-P 4 2'
loop_
_atom_site_label
_atom_site_fract_x
_atom_site_fract_y
_atom_site_fract_z
Cu1 0.0000 0.0000 0.0000
Sb1 0.0000 0.5000 0.0000
S1 0.5000 0.5000 0.5000
I1 0.0000 0.0000 0.5000
```

**Electronic total energy**: -16.60 eV per cell
**Total moment**: 0.0 μB/f.u.
**Raw formation energy**: 601 meV/atom
**N(E_F)**: 0.7889 states/eV per atom

***

(3)
Computed, not measured: a relaxed TcTe2ICl crystal at the GGA-PBEsol level of DFT.

```
data_TcTe2ICl
_cell_length_a 5.0839
_cell_length_b 5.0839
_cell_length_c 5.4501
_cell_angle_alpha 90.00
_cell_angle_beta 90.00
_cell_angle_gamma 90.00
_space_group_name_H-M_alt 'P 4/m m m'
_space_group_IT_number 123
_space_group_name_Hall '-P 4 2'
loop_
_atom_site_label
_atom_site_fract_x
_atom_site_fract_y
_atom_site_fract_z
Tc1 0.0000 0.0000 0.0000
Te1 0.0000 0.5000 0.0000
I1 0.0000 0.0000 0.5000
Cl1 0.5000 0.5000 0.5000
```

**Electronic total energy**: -20.42 eV per cell
**Total moment**: 0.0 μB/f.u.
**Raw formation energy**: 335 meV/atom
**N(E_F)**: 1.1529 states/eV per atom

***

(4)
Computed, not measured: a relaxed Re3SiBr crystal at the GGA-PBEsol level of DFT.

```
data_Re3SiBr
_cell_length_a 4.4527
_cell_length_b 4.4527
_cell_length_c 4.4527
_cell_angle_alpha 90.00
_cell_angle_beta 90.00
_cell_angle_gamma 90.00
_space_group_name_H-M_alt 'P m -3 m'
_space_group_IT_number 221
_space_group_name_Hall '-P 4 2 3'
loop_
_atom_site_label
_atom_site_fract_x
_atom_site_fract_y
_atom_site_fract_z
Re1 0.0000 0.0000 0.5000
Si1 0.0000 0.0000 0.0000
Br1 0.5000 0.5000 0.5000
```

**Electronic total energy**: -37.95 eV per cell
**Total moment**: 0.0 μB/f.u.
**Raw formation energy**: 1933 meV/atom
**N(E_F)**: 1.1685 states/eV per atom

***

(5)
Computed, not measured: a relaxed Sc2Zn2Au crystal at the GGA-PBEsol level of DFT.

```
data_Sc2Zn2Au
_cell_length_a 6.8665
_cell_length_b 6.8665
_cell_length_c 3.7163
_cell_angle_alpha 90.00
_cell_angle_beta 90.00
_cell_angle_gamma 90.00
_space_group_name_H-M_alt 'P 4/m b m'
_space_group_IT_number 127
_space_group_name_Hall '-P 4 2ab'
loop_
_atom_site_label
_atom_site_fract_x
_atom_site_fract_y
_atom_site_fract_z
Sc1 0.1719 0.3281 0.0000
Zn1 0.1277 0.6277 0.5000
Au1 0.0000 0.0000 0.5000
```

**Electronic total energy**: -45.45 eV per cell
**Total moment**: 0.0 μB/f.u.
**Energy of formation**: -2.43 eV per formula unit
**N(E_F)**: 0.8046 states/eV per atom

***

(6)
Computed, not measured: a relaxed CrP crystal at the GGA-PBEsol level of DFT.

```
data_CrP
_cell_length_a 5.2770
_cell_length_b 3.0160
_cell_length_c 5.8870
_cell_angle_alpha 90.00
_cell_angle_beta 90.00
_cell_angle_gamma 90.00
_space_group_name_H-M_alt 'P n m a'
_space_group_IT_number 62
_space_group_name_Hall '-P 2ac 2n'
loop_
_atom_site_label
_atom_site_fract_x
_atom_site_fract_y
_atom_site_fract_z
Cr1 0.0088 0.2500 0.1894
P1 0.1813 0.2500 0.5639
```

**Electronic total energy**: -69.22 eV per cell
**Total moment**: 0.0 μB/f.u.
**Energy of formation**: -1.27 eV per formula unit
**N(E_F)**: 0.7143 states/eV per atom

***

(7)
Computed, not measured: a relaxed Mn2Au3 crystal at the GGA-PBEsol level of DFT.

```
data_Mn2Au3
_cell_length_a 8.7990
_cell_length_b 3.9128
_cell_length_c 6.2644
_cell_angle_alpha 90.00
_cell_angle_beta 133.12
_cell_angle_gamma 90.00
_space_group_name_H-M_alt 'C 1 2/m 1'
_space_group_IT_number 12
_space_group_name_Hall '-C 2y'
loop_
_atom_site_label
_atom_site_fract_x
_atom_site_fract_y
_atom_site_fract_z
Mn1 0.0925 0.0000 0.2974
Au1 0.0000 0.5000 0.5000
Au2 0.1995 0.5000 0.1122
```

**Electronic total energy**: -62.00 eV per cell
**Total moment**: 8.0 μB/f.u.
**Energy of formation**: 0.29 eV per formula unit
**Energy above the most stable polymorph in this dataset**: 31 meV per atom
**N(E_F)**: 0.6050 states/eV per atom

***

(8)
Computed, not measured: a relaxed OsWAu4 crystal at the GGA-PBEsol level of DFT.

```
data_OsWAu4
_cell_length_a 7.3842
_cell_length_b 7.3842
_cell_length_c 7.3842
_cell_angle_alpha 90.00
_cell_angle_beta 90.00
_cell_angle_gamma 90.00
_space_group_name_H-M_alt 'F -4 3 m'
_space_group_IT_number 216
_space_group_name_Hall 'F -4 2 3'
loop_
_atom_site_label
_atom_site_fract_x
_atom_site_fract_y
_atom_site_fract_z
Os1 0.0000 0.0000 0.0000
W1 0.2500 0.2500 0.2500
Au1 0.1250 0.1250 0.6250
```

**Electronic total energy**: -143.64 eV per cell
**Total moment**: 0.0 μB/f.u.
**Energy of formation**: 5.81 eV per formula unit
**N(E_F)**: 0.5768 states/eV per atom

***

(9)
Computed, not measured: a relaxed Al2Fe2W crystal at the GGA-PBEsol level of DFT.

```
data_Al2Fe2W
_cell_length_a 3.4201
_cell_length_b 3.4201
_cell_length_c 11.7306
_cell_angle_alpha 90.00
_cell_angle_beta 90.00
_cell_angle_gamma 90.00
_space_group_name_H-M_alt 'I 4/m m m'
_space_group_IT_number 139
_space_group_name_Hall '-I 4 2'
loop_
_atom_site_label
_atom_site_fract_x
_atom_site_fract_y
_atom_site_fract_z
Al1 0.0000 0.0000 0.1028
Fe1 0.0000 0.5000 0.2500
W1 0.0000 0.0000 0.5000
```

**Electronic total energy**: -77.14 eV per cell
**Total moment**: 5.1 μB/f.u.
**Energy of formation**: 1.35 eV per formula unit
**N(E_F)**: 0.7796 states/eV per atom

***

(10)
Computed, not measured: a relaxed BaCrCu2Sb crystal at the GGA-PBEsol level of DFT.

```
data_BaCrCu2Sb
_cell_length_a 4.8881
_cell_length_b 4.8881
_cell_length_c 4.8976
_cell_angle_alpha 90.00
_cell_angle_beta 90.00
_cell_angle_gamma 90.00
_space_group_name_H-M_alt 'P 4/m m m'
_space_group_IT_number 123
_space_group_name_Hall '-P 4 2'
loop_
_atom_site_label
_atom_site_fract_x
_atom_site_fract_y
_atom_site_fract_z
Ba1 0.0000 0.0000 0.0000
Cr1 0.5000 0.5000 0.5000
Cu1 0.0000 0.5000 0.5000
Sb1 0.5000 0.5000 0.0000
```

**Electronic total energy**: -24.29 eV per cell
**Total moment**: 2.6 μB/f.u.
**Raw formation energy**: 264 meV/atom
**N(E_F)**: 0.4043 states/eV per atom

***

(11)
Computed, not measured: a relaxed CoTe2Rh crystal at the GGA-PBEsol level of DFT.

```
data_CoTe2Rh
_cell_length_a 3.4502
_cell_length_b 3.4502
_cell_length_c 6.5840
_cell_angle_alpha 90.00
_cell_angle_beta 90.00
_cell_angle_gamma 90.00
_space_group_name_H-M_alt 'P 4 m m'
_space_group_IT_number 99
_space_group_name_Hall 'P 4 -2'
loop_
_atom_site_label
_atom_site_fract_x
_atom_site_fract_y
_atom_site_fract_z
Co1 0.0000 0.0000 0.0000
Te1 0.0000 0.0000 0.3823
Te2 0.5000 0.5000 0.8481
Rh1 0.5000 0.5000 0.2310
```

**Electronic total energy**: -23.32 eV per cell
**Total moment**: 0.0 μB/f.u.
**Raw formation energy**: -99 meV/atom
**N(E_F)**: 0.7577 states/eV per atom

***

(12)
Computed, not measured: a relaxed NbSbIN2 crystal at the GGA-PBEsol level of DFT.

```
data_NbSbIN2
_cell_length_a 4.0771
_cell_length_b 4.0771
_cell_length_c 5.9629
_cell_angle_alpha 90.00
_cell_angle_beta 90.00
_cell_angle_gamma 90.00
_space_group_name_H-M_alt 'P 4/m m m'
_space_group_IT_number 123
_space_group_name_Hall '-P 4 2'
loop_
_atom_site_label
_atom_site_fract_x
_atom_site_fract_y
_atom_site_fract_z
Nb1 0.0000 0.0000 0.0000
Sb1 0.5000 0.5000 0.5000
I1 0.5000 0.5000 0.0000
N1 0.0000 0.5000 0.5000
```

**Electronic total energy**: -26.00 eV per cell
**Total moment**: 2.4 μB/f.u.
**Raw formation energy**: 1640 meV/atom
**N(E_F)**: 1.0062 states/eV per atom

***

Please write out number 4 again, unchanged.
Computed, not measured: a relaxed Re3SiBr crystal at the GGA-PBEsol level of DFT.

```
data_Re3SiBr
_cell_length_a 4.4527
_cell_length_b 4.4527
_cell_length_c 4.4527
_cell_angle_alpha 90.00
_cell_angle_beta 90.00
_cell_angle_gamma 90.00
_space_group_name_H-M_alt 'P m -3 m'
_space_group_IT_number 221
_space_group_name_Hall '-P 4 2 3'
loop_
_atom_site_label
_atom_site_fract_x
_atom_site_fract_y
_atom_site_fract_z
Re1 0.0000 0.0000 0.5000
Si1 0.0000 0.0000 0.0000
Br1 0.5000 0.5000 0.5000
```

**Electronic total energy**: -37.95 eV per cell
**Total moment**: 0.0 μB/f.u.
**Raw formation energy**: 1933 meV/atom
**N(E_F)**: 1.1685 states/eV per atom

***

Repeat the eleventh record exactly.
Computed, not measured: a relaxed CoTe2Rh crystal at the GGA-PBEsol level of DFT.

```
data_CoTe2Rh
_cell_length_a 3.4502
_cell_length_b 3.4502
_cell_length_c 6.5840
_cell_angle_alpha 90.00
_cell_angle_beta 90.00
_cell_angle_gamma 90.00
_space_group_name_H-M_alt 'P 4 m m'
_space_group_IT_number 99
_space_group_name_Hall 'P 4 -2'
loop_
_atom_site_label
_atom_site_fract_x
_atom_site_fract_y
_atom_site_fract_z
Co1 0.0000 0.0000 0.0000
Te1 0.0000 0.0000 0.3823
Te2 0.5000 0.5000 0.8481
Rh1 0.5000 0.5000 0.2310
```

**Electronic total energy**: -23.32 eV per cell
**Total moment**: 0.0 μB/f.u.
**Raw formation energy**: -99 meV/atom
**N(E_F)**: 0.7577 states/eV per atom

***

Among the records above, which one has the highest total moment? Mn2Au3

***

Copy entry 8 word for word.
Computed, not measured: a relaxed OsWAu4 crystal at the GGA-PBEsol level of DFT.

```
data_OsWAu4
_cell_length_a 7.3842
_cell_length_b 7.3842
_cell_length_c 7.3842
_cell_angle_alpha 90.00
_cell_angle_beta 90.00
_cell_angle_gamma 90.00
_space_group_name_H-M_alt 'F -4 3 m'
_space_group_IT_number 216
_space_group_name_Hall 'F -4 2 3'
loop_
_atom_site_label
_atom_site_fract_x
_atom_site_fract_y
_atom_site_fract_z
Os1 0.0000 0.0000 0.0000
W1 0.2500 0.2500 0.2500
Au1 0.1250 0.1250 0.6250
```

**Electronic total energy**: -143.64 eV per cell
**Total moment**: 0.0 μB/f.u.
**Energy of formation**: 5.81 eV per formula unit
**N(E_F)**: 0.5768 states/eV per atom